Entry 1:
This record from Alexandria via LeMat-Bulk describes a geometry-optimized Ta2MoPd structure. The functional is PBE.

Results
Crystal system: tetragonal
M_tot, μB/f.u.: 0.0
Final energy, eV/atom: -10.140
Formation energy, eV/f.u.: -0.830

a = 3.279 Å, b = 3.279 Å, c = 6.282 Å
α = 90.00°, β = 90.00°, γ = 90.00°
Space group P4/mmm (No. 123)
One atom of each set of equivalent atoms:
1 Ta 0.000 0.000 0.239 [2 per cell]
2 Mo 0.500 0.500 0.000 [1 per cell]
3 Pd 0.500 0.500 0.500 [1 per cell]



Entry 2:
This record from Alexandria via LeMat-Bulk describes a geometry-optimized Ho6Te3H structure. The functional is PBE.

Results
Crystal system: orthorhombic
M_tot, μB/f.u.: 0.1
Final energy, eV/atom: -4.741

a = 11.907 Å, b = 14.030 Å, c = 6.573 Å
α = 90.00°, β = 90.00°, γ = 90.00°
Space group Cmc2_1 (No. 36)
One atom of each set of equivalent atoms:
1 Ho 0.000 0.068 0.000 [4 per cell]
2 Ho 0.000 0.238 0.385 [4 per cell]
3 Ho 0.171 0.448 0.440 [8 per cell]
4 Ho 0.179 0.271 0.917 [8 per cell]
5 Te 0.000 0.404 0.756 [4 per cell]
6 Te 0.155 0.094 0.622 [8 per cell]
7 H 0.000 0.222 0.035 [4 per cell]



Entry 3:
This record from Alexandria via LeMat-Bulk describes a geometry-optimized CdSiP2 structure. The functional is PBE.

Results
Crystal system: orthorhombic
Energy relative to the elements, uncorrected, eV/atom: 0.4387
M_tot, μB/f.u.: 0.0
Energy above the lowest structure with this stoichiometry, eV/atom: 0.6390
Final energy, eV/atom: -3.851

a = 3.270 Å, b = 4.704 Å, c = 9.372 Å
α = 90.00°, β = 90.00°, γ = 90.00°
Space group Immm (No. 71)
One atom of each set of equivalent atoms:
1 Cd 0.000 0.000 0.000 [2 per cell]
2 Si 0.000 0.000 0.500 [2 per cell]
3 P 0.000 0.500 0.186 [4 per cell]